Compound: CsHgOs2O8
Source: Alexandria via LeMat-Bulk
Functional: PBE
Structure: optimized geometry

a = 6.474 Å, b = 6.474 Å, c = 9.865 Å
α = 90.00°, β = 90.00°, γ = 120.00°
Each line ends with the local moment (μB).
Fractional positions:
Cs1 0.000 0.000 0.000  0.00
Hg1 0.000 0.000 0.500  0.00
Os1 0.667 0.333 0.180  0.29
Os2 0.333 0.667 0.820  0.29
O1 0.333 0.667 0.998  0.06
O2 0.372 0.188 0.236  0.05
O3 0.812 0.184 0.236  0.05
O4 0.667 0.333 0.002  0.06
O5 0.188 0.816 0.764  0.05
O6 0.628 0.812 0.764  0.05
O7 0.184 0.372 0.764  0.05
O8 0.816 0.628 0.236  0.05

**Spin magnetization**: 1.1 Bohr magnetons per cell
**Mass density**: 3.90 g/cm3
**ΔE_f (raw)**: -1019 meV per atom
**SG**: P-3, No. 147
**Raw total energy**: -6.293 eV/atom

=====

Compound: Ce2Sm3Ru4
Source: Alexandria via LeMat-Bulk
Functional: PBE
Structure: optimized geometry

a = 6.031 Å, b = 8.830 Å, c = 8.830 Å
α = 68.80°, β = 80.01°, γ = 80.01°
Fractional positions:
Ce1 0.470 0.210 0.410
Ce2 0.030 0.590 0.790
Ce3 0.530 0.790 0.590
Ce4 0.970 0.410 0.210
Sm1 0.895 0.990 0.207
Sm2 0.605 0.793 0.010
Sm3 0.105 0.010 0.793
Sm4 0.395 0.207 0.990
Sm5 0.250 0.628 0.372
Sm6 0.750 0.372 0.628
Ru1 0.381 0.943 0.317
Ru2 0.119 0.683 0.057
Ru3 0.619 0.057 0.683
Ru4 0.881 0.317 0.943
Ru5 0.994 0.161 0.435
Ru6 0.506 0.565 0.839
Ru7 0.006 0.839 0.565
Ru8 0.494 0.435 0.161

**Spin magnetization**: 0.0 Bohr magnetons per cell
**Mass density**: 8.80 g/cm3
**SG**: C2/c, No. 15
**Raw total energy**: -7.284 eV/atom
**Energy of formation from the pure elements**: -26 kJ per mole of atoms

=====

Compound: PmYHoEr
Source: Alexandria via LeMat-Bulk
Functional: PBE
Structure: optimized geometry

a = 5.046 Å, b = 5.046 Å, c = 6.163 Å
α = 114.16°, β = 114.17°, γ = 90.00°
Fractional positions:
Pm1 0.120 0.120 0.239
Y1 0.370 0.870 0.740
Ho1 0.870 0.370 0.740
Er1 0.620 0.620 0.240

**Spin magnetization**: 0.0 Bohr magnetons per cell
**Mass density**: 7.35 g/cm3
**SG**: I-4m2, No. 119
**Raw total energy**: -5.066 eV/atom
**Energy of formation from the pure elements**: 2 kJ per mole of atoms

=====

Compound: Be2SbRh
Source: Alexandria via LeMat-Bulk
Functional: PBE
Structure: optimized geometry

a = 4.208 Å, b = 4.208 Å, c = 4.767 Å
α = 83.37°, β = 83.37°, γ = 43.69°
Fractional positions:
Sb1 0.750 0.750 0.750
Rh1 0.250 0.250 0.250
Be1 0.976 0.976 0.089
Be2 0.524 0.524 0.411

**Spin magnetization**: 0.0 Bohr magnetons per cell
**Mass density**: 6.97 g/cm3
**ΔE_f (raw)**: -1 meV per atom
**SG**: C2/m, No. 12
**Raw total energy**: -4.732 eV/atom

=====

Compound: TbDy4Y6
Source: Alexandria via LeMat-Bulk
Functional: PBE
Structure: optimized geometry

a = 7.546 Å, b = 7.546 Å, c = 8.518 Å
α = 116.29°, β = 116.29°, γ = 90.00°
Fractional positions:
Tb1 0.500 0.500 0.000
Dy1 0.088 0.757 0.845
Dy2 0.912 0.912 0.155
Dy3 0.757 0.088 0.845
Dy4 0.243 0.243 0.155
Y1 0.923 0.450 0.373
Y2 0.450 0.923 0.373
Y3 0.550 0.550 0.627
Y4 0.000 0.500 0.000
Y5 0.077 0.077 0.627
Y6 0.500 0.000 0.000

**Spin magnetization**: 0.0 Bohr magnetons per cell
**Mass density**: 5.90 g/cm3
**SG**: I-42m, No. 121
**Raw total energy**: -5.190 eV/atom
**Energy of formation from the pure elements**: 42 kJ per mole of atoms

=====

Compound: SiMo4Pt
Source: Alexandria via LeMat-Bulk
Functional: PBE
Structure: optimized geometry

a = 5.178 Å, b = 5.178 Å, c = 5.178 Å
α = 60.00°, β = 60.00°, γ = 60.00°
Fractional positions:
Si1 0.000 0.000 0.000
Mo1 0.876 0.375 0.375
Mo2 0.375 0.375 0.876
Mo3 0.375 0.876 0.375
Mo4 0.375 0.375 0.375
Pt1 0.750 0.750 0.750

**Spin magnetization**: 0.0 Bohr magnetons per cell
**Mass density**: 10.27 g/cm3
**ΔE_f (raw)**: 429 meV per atom
**SG**: F-43m, No. 216
**Raw total energy**: -8.703 eV/atom

=====

Compound: CuTc2Cl
Source: Alexandria via LeMat-Bulk
Functional: PBE
Structure: optimized geometry

a = 5.364 Å, b = 5.364 Å, c = 5.364 Å
α = 140.56°, β = 140.56°, γ = 57.00°
Each line ends with the local moment (μB).
Fractional positions:
Tc1 0.000 0.000 0.000  0.30
Tc2 0.500 0.500 0.000  0.30
Cu1 0.750 0.250 0.500  0.06
Cl1 0.250 0.750 0.500  0.03

**Spin magnetization**: 0.8 Bohr magnetons per cell
**Mass density**: 7.93 g/cm3
**ΔE_f (raw)**: 1010 meV per atom
**SG**: I4/mmm, No. 139
**Raw total energy**: -5.659 eV/atom

=====

Compound: Tb2Pr2ErTm
Source: Alexandria via LeMat-Bulk
Functional: PBE
Structure: optimized geometry

a = 5.660 Å, b = 7.033 Å, c = 9.824 Å
α = 90.00°, β = 90.00°, γ = 90.00°
Fractional positions:
Tb1 0.000 0.258 0.835
Tb2 0.500 0.258 0.333
Tb3 0.000 0.758 0.165
Tb4 0.500 0.758 0.667
Pr1 0.500 0.008 0.000
Pr2 0.000 0.258 0.179
Pr3 0.500 0.508 0.000
Pr4 0.000 0.758 0.821
Er1 0.500 0.258 0.658
Er2 0.500 0.758 0.342
Tm1 0.000 0.008 0.500
Tm2 0.000 0.508 0.500

**Spin magnetization**: 0.0 Bohr magnetons per cell
**Mass density**: 7.95 g/cm3
**SG**: Pmma, No. 51
**Raw total energy**: -4.576 eV/atom
**Energy of formation from the pure elements**: 6 kJ per mole of atoms